No. 1
! RbTe5Au4 | the Alexandria database | GGA-PBE | optimized geometry; values from VASP
! **SG**: Pmmn, No. 59
! **Electronic total energy**: -3.19 eV per atom
! **N(E_F)**: 5.65 states/eV per cell
! **Formation energy (no corrections)**: -0.2153 eV per atom
! **Magnetic moment**: 0.000 μB/atom
&SYSTEM
  ibrav = 0, nat = 20, ntyp = 3
/
ATOMIC_SPECIES
Rb 85.47 Rb.upf
Te 127.60 Te.upf
Au 196.97 Au.upf
CELL_PARAMETERS angstrom
8.287 0.000 0.000
0.000 12.599 0.000
0.000 0.000 6.172
ATOMIC_POSITIONS angstrom
Rb 2.072 3.150 0.855
Rb 6.215 9.449 5.317
Te 0.113 6.918 1.667
Te 0.113 11.981 1.667
Te 2.072 9.449 4.721
Te 4.031 6.918 1.667
Te 4.031 11.981 1.667
Te 4.256 0.618 4.505
Te 4.256 5.682 4.505
Te 6.215 3.150 1.451
Te 8.174 0.618 4.505
Te 8.174 5.682 4.505
Au 0.480 9.449 2.448
Au 2.072 6.720 5.841
Au 2.072 12.179 5.841
Au 3.663 9.449 2.448
Au 4.624 3.150 3.724
Au 6.215 0.421 0.331
Au 6.215 5.879 0.331
Au 7.807 3.150 3.724


No. 2
! RbMnOs2 | the Alexandria database | GGA-PBE | optimized geometry; values from VASP
! **SG**: Fm-3m, No. 225
! **Energy of formation**: 2.160 eV/atom
! **Electronic total energy**: -5.99 eV per atom
! **N(E_F)**: 8.15 states/eV per cell
! **Magnetic moment**: 0.000 μB/atom
! **Excess energy over the best structure of this formula in the dataset**: 0.362 eV per atom
&SYSTEM
  ibrav = 0, nat = 4, ntyp = 3
/
ATOMIC_SPECIES
Rb 85.47 Rb.upf
Mn 54.94 Mn.upf
Os 190.23 Os.upf
CELL_PARAMETERS angstrom
0.000 3.192 3.192
3.192 0.000 3.192
3.192 3.192 0.000
ATOMIC_POSITIONS angstrom
Rb 0.000 0.000 0.000
Mn 3.192 3.192 3.192
Os 1.596 1.596 1.596
Os 4.788 4.788 4.788


No. 3
! Cs2LiHfF | the Alexandria database | GGA-PBE | optimized geometry; values from VASP
! **SG**: P4/mmm, No. 123
! **Electronic total energy**: -2.63 eV per atom
! **N(E_F)**: 5.23 states/eV per cell
! **Formation energy (no corrections)**: 0.4583 eV per atom
! **Magnetic moment**: 0.800 μB/atom
&SYSTEM
  ibrav = 0, nat = 5, ntyp = 4
/
ATOMIC_SPECIES
Cs 132.91 Cs.upf
Li 6.94 Li.upf
Hf 178.49 Hf.upf
F 19.00 F.upf
CELL_PARAMETERS angstrom
7.050 0.000 0.000
0.000 7.050 0.000
0.000 0.000 5.403
ATOMIC_POSITIONS angstrom
Cs 0.000 3.525 0.000
Cs 3.525 0.000 0.000
Li 0.000 0.000 2.702
Hf 0.000 0.000 0.000
F 3.525 3.525 2.702


No. 4
! Ac2PrSmDy | the Alexandria database | GGA-PBE | optimized geometry; values from VASP
! **SG**: Pmma, No. 51
! **Energy of formation**: 0.254 eV/atom
! **Electronic total energy**: -4.21 eV per atom
! **N(E_F)**: 13.38 states/eV per cell
! **Magnetic moment**: 0.000 μB/atom
&SYSTEM
  ibrav = 0, nat = 10, ntyp = 4
/
ATOMIC_SPECIES
Ac 227.00 Ac.upf
Pr 140.91 Pr.upf
Sm 150.36 Sm.upf
Dy 162.50 Dy.upf
CELL_PARAMETERS angstrom
6.502 0.000 0.000
0.000 8.909 0.000
0.000 0.000 6.828
ATOMIC_POSITIONS angstrom
Ac 1.625 1.823 1.436
Ac 1.625 7.085 1.436
Ac 4.876 1.823 5.392
Ac 4.876 7.085 5.392
Pr 1.625 4.454 6.251
Pr 4.876 4.454 0.577
Sm 1.625 0.000 4.648
Sm 4.876 0.000 2.180
Dy 0.000 4.454 3.414
Dy 3.251 4.454 3.414


No. 5
! BaBi2Pb3 | the Alexandria database | GGA-PBE | optimized geometry; values from VASP
! **SG**: Immm, No. 71
! **Energy of formation**: -0.250 eV/atom
! **Electronic total energy**: -3.72 eV per atom
! **N(E_F)**: 6.60 states/eV per cell
! **Magnetic moment**: 0.000 μB/atom
! **Excess energy over the best structure of this formula in the dataset**: 0.025 eV per atom
&SYSTEM
  ibrav = 0, nat = 12, ntyp = 3
/
ATOMIC_SPECIES
Ba 137.33 Ba.upf
Bi 208.98 Bi.upf
Pb 207.20 Pb.upf
CELL_PARAMETERS angstrom
-2.325 5.577 8.466
2.325 -5.577 8.466
2.325 5.577 -8.466
ATOMIC_POSITIONS angstrom
Ba 0.000 0.000 2.439
Ba 0.000 0.000 14.493
Bi 2.325 1.693 0.000
Bi 2.325 0.000 5.433
Bi 0.000 5.577 3.034
Bi 0.000 3.884 8.466
Pb 2.325 3.090 -3.058
Pb 0.000 3.864 0.000
Pb 2.325 3.090 3.058
Pb 0.000 2.487 5.409
Pb 0.000 7.290 0.000
Pb 0.000 2.487 11.524


No. 6
! CaNd4Sm8 | the Alexandria database | GGA-PBE | optimized geometry; values from VASP
! **SG**: I4/m, No. 87
! **Energy of formation**: 0.094 eV/atom
! **Electronic total energy**: -4.43 eV per atom
! **N(E_F)**: 18.74 states/eV per cell
! **Magnetic moment**: 0.000 μB/atom
&SYSTEM
  ibrav = 0, nat = 13, ntyp = 3
/
ATOMIC_SPECIES
Ca 40.08 Ca.upf
Nd 144.24 Nd.upf
Sm 150.36 Sm.upf
CELL_PARAMETERS angstrom
-6.351 6.351 2.852
6.351 -6.351 2.852
6.351 6.351 -2.852
ATOMIC_POSITIONS angstrom
Ca 0.000 0.000 0.000
Nd 3.417 2.353 0.000
Nd 3.998 -2.934 2.852
Nd 2.353 9.285 0.000
Nd 2.934 3.998 2.852
Sm 8.015 0.731 0.000
Sm 6.695 3.876 0.000
Sm 0.731 4.687 0.000
Sm 3.876 6.007 0.000
Sm 2.475 0.344 2.852
Sm 5.620 1.664 2.852
Sm -0.344 2.475 2.852
Sm -1.664 5.620 2.852


Copy entry 6 word for word.
! CaNd4Sm8 | the Alexandria database | GGA-PBE | optimized geometry; values from VASP
! **SG**: I4/m, No. 87
! **Energy of formation**: 0.094 eV/atom
! **Electronic total energy**: -4.43 eV per atom
! **N(E_F)**: 18.74 states/eV per cell
! **Magnetic moment**: 0.000 μB/atom
&SYSTEM
  ibrav = 0, nat = 13, ntyp = 3
/
ATOMIC_SPECIES
Ca 40.08 Ca.upf
Nd 144.24 Nd.upf
Sm 150.36 Sm.upf
CELL_PARAMETERS angstrom
-6.351 6.351 2.852
6.351 -6.351 2.852
6.351 6.351 -2.852
ATOMIC_POSITIONS angstrom
Ca 0.000 0.000 0.000
Nd 3.417 2.353 0.000
Nd 3.998 -2.934 2.852
Nd 2.353 9.285 0.000
Nd 2.934 3.998 2.852
Sm 8.015 0.731 0.000
Sm 6.695 3.876 0.000
Sm 0.731 4.687 0.000
Sm 3.876 6.007 0.000
Sm 2.475 0.344 2.852
Sm 5.620 1.664 2.852
Sm -0.344 2.475 2.852
Sm -1.664 5.620 2.852


What is the N(E_F) in the sixth record?
18.74 states/eV per cell